# 1
The following is a DFT calculation (GGA-PBE) of a relaxed structure of SrAsH.

The structure in POSCAR format:
```
SrAsH
1.0
7.286 0.000 0.000
0.000 8.189 0.000
0.000 0.000 4.612
Sr As H
4 4 4
Direct
0.000 0.000 0.000
0.500 0.500 0.500
0.500 0.000 0.500
0.000 0.500 0.000
0.343 0.250 0.031
0.157 0.750 0.531
0.657 0.750 0.969
0.843 0.250 0.469
0.533 0.250 0.870
0.967 0.750 0.370
0.467 0.750 0.130
0.033 0.250 0.630
```

ΔE to the lowest computed polymorph   4.3 kJ per mole of atoms
Space group   Pnma
DOS at the Fermi energy   0.00 states/eV/f.u.


# 2
The following is a DFT calculation (GGA-PBE) of a relaxed structure of Sr2As2H.

The structure in POSCAR format:
```
Sr2As2H
1.0
7.499 0.000 0.000
0.000 7.499 0.000
0.000 0.000 4.671
Sr As H
4 4 2
Direct
0.315 0.815 0.000
0.815 0.685 0.000
0.685 0.185 0.000
0.185 0.315 0.000
0.113 0.613 0.500
0.613 0.887 0.500
0.887 0.387 0.500
0.387 0.113 0.500
0.000 0.000 0.000
0.500 0.500 0.000
```

Space group   P4/mbm
DOS at the Fermi energy   3.89 states/eV/f.u.
Total DFT energy (no corrections)   -3.8976 eV/atom


# 3
The following is a DFT calculation (GGA-PBE) of a relaxed structure of Sr4As2H3.

The structure in POSCAR format:
```
Sr4As2H3
1.0
7.159 0.000 0.000
0.000 8.045 0.000
-3.580 0.000 7.239
Sr As H
8 4 6
Direct
0.711 0.750 0.922
0.789 0.250 0.078
0.289 0.250 0.078
0.211 0.750 0.922
0.205 0.894 0.410
0.795 0.106 0.590
0.295 0.394 0.590
0.705 0.606 0.410
0.101 0.559 0.202
0.899 0.441 0.798
0.399 0.059 0.798
0.601 0.941 0.202
0.000 0.000 0.000
0.500 0.500 0.000
0.541 0.750 0.582
0.959 0.250 0.418
0.459 0.250 0.418
0.041 0.750 0.582
```

Space group   Cmce
DOS at the Fermi energy   3.39 states/eV/f.u.
Total DFT energy (no corrections)   -3.5882 eV/atom


# 4
The following is a DFT calculation (GGA-PBE) of a relaxed structure of SrAsH2.

The structure in POSCAR format:
```
SrAsH2
1.0
-2.655 -2.372 3.372
3.210 -2.393 0.844
1.958 4.214 4.507
Sr As H
2 2 4
Direct
0.000 0.768 0.981
0.500 0.232 0.481
0.500 0.249 0.981
0.000 0.751 0.481
0.500 0.575 0.820
0.000 0.425 0.642
0.000 0.425 0.320
0.500 0.575 0.142
```

ΔE to the lowest computed polymorph   0.0 kJ per mole of atoms
Space group   Pmmn
DOS at the Fermi energy   1.27 states/eV/f.u.


# 5
The following is a DFT calculation (GGA-PBE) of a relaxed structure of SrAsH.

The structure in POSCAR format:
```
SrAsH
1.0
-1.403 -5.732 0.217
1.984 3.862 3.997
-5.128 2.862 -0.580
Sr As H
2 2 2
Direct
0.500 0.772 0.272
0.500 0.228 0.728
0.825 0.501 0.324
0.175 0.499 0.676
0.947 0.001 0.946
0.053 0.999 0.054
```

ΔE to the lowest computed polymorph   6.0 kJ per mole of atoms
Space group   C2/m
DOS at the Fermi energy   0.08 states/eV/f.u.


# 6
The following is a DFT calculation (GGA-PBE) of a relaxed structure of Sr2AsH.

The structure in POSCAR format:
```
Sr2AsH
1.0
6.115 0.000 0.000
0.000 6.130 0.230
0.000 -0.486 12.245
Sr As H
8 4 4
Direct
0.765 0.999 0.873
0.235 0.001 0.127
0.765 0.501 0.627
0.235 0.499 0.373
0.750 0.479 0.123
0.250 0.521 0.877
0.750 0.021 0.377
0.250 0.979 0.623
0.251 0.999 0.375
0.749 0.001 0.625
0.251 0.501 0.125
0.749 0.499 0.875
0.226 0.530 0.624
0.774 0.470 0.376
0.226 0.970 0.876
0.774 0.030 0.124
```

ΔE to the lowest computed polymorph   9.9 kJ per mole of atoms
Space group   P2/c